(1)
# LiTmAlCu

LiTmAlCu after structural relaxation (PBE, the Alexandria database).

a b c (Å): 4.560 4.560 4.560
angles (deg): 60.00 60.00 60.00
Fractional positions:
Al  0.500  0.500  0.500
Tm  0.000  0.000  0.000
Cu  0.250  0.250  0.250
Li  0.750  0.750  0.750

Results
Calculated formation energy ... -333 meV/atom

=====

(2)
# Nd12Y3Tm

Nd12Y3Tm after structural relaxation (PBE, the Alexandria database).

a b c (Å): 5.162 5.162 20.592
angles (deg): 90.00 90.00 90.00
Fractional positions:
Nd  0.500  0.000  0.124
Nd  0.500  0.000  0.876
Nd  0.000  0.500  0.876
Nd  0.500  0.500  0.751
Nd  0.000  0.500  0.625
Nd  0.500  0.500  0.249
Nd  0.500  0.000  0.625
Nd  0.500  0.500  0.500
Nd  0.500  0.000  0.375
Nd  0.000  0.500  0.124
Nd  0.500  0.500  0.000
Nd  0.000  0.500  0.375
Y  0.000  0.000  0.500
Y  0.000  0.000  0.249
Y  0.000  0.000  0.751
Tm  0.000  0.000  0.000

Results
Calculated formation energy ... 12 meV/atom

=====

(3)
# ZrSi2Pt

ZrSi2Pt after structural relaxation (PBE, the Alexandria database).

a b c (Å): 5.615 5.615 3.645
angles (deg): 71.06 71.06 38.14
Fractional positions:
Si  0.950  0.950  0.050
Si  0.742  0.742  0.758
Zr  0.528  0.528  0.472
Pt  0.280  0.280  0.220

Results
Uncorrected formation energy ... -253 kJ/mol of formula units

=====

(4)
# Li4ZrSc3Te8

Li4ZrSc3Te8 after structural relaxation (PBE, the Alexandria database).

a b c (Å): 8.256 8.485 8.256
angles (deg): 119.13 120.00 90.00
Fractional positions:
Te  0.749  0.746  0.497
Te  0.249  0.747  0.498
Te  0.251  0.253  0.002
Te  0.251  0.254  0.503
Te  0.751  0.253  0.002
Te  0.749  0.747  0.998
Te  0.751  0.253  0.502
Te  0.249  0.747  0.998
Zr  0.000  0.500  0.000
Sc  0.500  0.500  0.500
Sc  0.500  0.500  0.000
Sc  0.000  0.500  0.500
Li  0.500  0.000  0.500
Li  0.000  0.000  0.500
Li  0.500  0.000  0.000
Li  0.000  0.000  0.000

Results
Uncorrected formation energy ... -1704 kJ/mol of formula units

=====

Across the entries above, raw total energy takes the values -3.889, -5.055, -7.015, -4.875 eV per atom, respectively.